The following is a PBE-GGA calculation of a geometry-optimized PmFe2Cl6 structure, from the Alexandria database.

Unit cell a=8.6936 b=8.6936 c=6.9517 alpha=98.90 beta=98.90 gamma=84.58
Closest atoms and distances in Å follow each position.
Element x y z (fractional)
Pm1 0.1190 0.8810 0.7500  6 Cl 2.63-2.91
Pm2 0.8810 0.1190 0.2500  6 Cl 2.63-2.91
Fe1 0.2403 0.3837 0.7025  4 Cl 2.28-2.45
Fe2 0.3837 0.2403 0.2025  4 Cl 2.28-2.45
Fe3 0.6163 0.7597 0.7975  4 Cl 2.28-2.45
Fe4 0.7597 0.6163 0.2975  4 Cl 2.28-2.45
Cl1 0.0475 0.1866 0.6243  1 Fe 2.45
Cl2 0.1275 0.6094 0.8751  1 Fe 2.35, 1 Pm 2.63
Cl3 0.1866 0.0475 0.1243  1 Fe 2.45
Cl4 0.2793 0.4422 0.4049  2 Fe 2.28-2.29
Cl5 0.3906 0.8725 0.6249  1 Fe 2.35, 1 Pm 2.63
Cl6 0.4422 0.2793 0.9049  2 Fe 2.28-2.29
Cl7 0.5578 0.7207 0.0951  2 Fe 2.28-2.29
Cl8 0.6094 0.1275 0.3751  1 Fe 2.35, 1 Pm 2.63
Cl9 0.7207 0.5578 0.5951  2 Fe 2.28-2.29
Cl10 0.8134 0.9525 0.8757  1 Fe 2.45
Cl11 0.8725 0.3906 0.1249  1 Fe 2.35, 1 Pm 2.63
Cl12 0.9525 0.8134 0.3757  1 Fe 2.45

Calculated values
* energy: -86.59 eV per cell
* energy relative to the elements, uncorrected: -1017 kJ/mol of formula units


The following is a PBE-GGA calculation of a geometry-optimized Pr2PdPb structure, from the Alexandria database.

Unit cell a=10.4120 b=10.4120 c=10.4120 alpha=21.88 beta=21.88 gamma=21.88
Closest atoms and distances in Å follow each position.
Element x y z (fractional)
Pr1 0.1073 0.1073 0.1073  3 Pd 2.91
Pr2 0.8927 0.8927 0.8927  3 Pd 2.91
Pd1 0.5000 0.5000 0.5000  6 Pr 2.91
Pb1 0.0000 0.0000 0.0000  2 Pr 3.27

Calculated values
* energy: -19.37 eV per cell


Sequential calculated density output: 3.05, 7.20 g cm⁻³
Sequential DOS(E_F) output: 23.787, 3.214 states/eV/cell